# 1
LiYSc2Au4: relaxed, GGA-PBE.

Lattice parameters (Å, degrees): 4.7576 4.7576 8.5964 73.94 73.94 60.00
Fractional coordinates of all 8 atoms:
Li 0.5000 0.5000 0.5000
Y 0.0000 0.0000 0.0000
Sc 0.7585 0.7585 0.7244
Sc 0.2415 0.2415 0.2756
Au 0.3888 0.3888 0.8335
Au 0.8758 0.8758 0.3725
Au 0.1242 0.1242 0.6275
Au 0.6112 0.6112 0.1665

Computed properties:
Volume, Å³ per cell: 159.67
Total magnetic moment, Bohr magnetons per cell: 0.00
ΔH_f (0 K), eV per atom: -0.7390
Crystal system: trigonal

***

# 2
LiSc2ZnAu4: relaxed, GGA-PBE.

Lattice parameters (Å, degrees): 4.6622 4.6622 8.0454 73.16 73.16 60.00
Fractional coordinates of all 8 atoms:
Li 0.5000 0.5000 0.5000
Sc 0.7484 0.7484 0.7548
Sc 0.2516 0.2516 0.2452
Zn 0.0000 0.0000 0.0000
Au 0.3773 0.3773 0.8682
Au 0.8732 0.8732 0.3803
Au 0.1268 0.1268 0.6197
Au 0.6227 0.6227 0.1318

Computed properties:
Volume, Å³ per cell: 142.72
Total magnetic moment, Bohr magnetons per cell: 0.00
ΔH_f (0 K), eV per atom: -0.6530
Crystal system: trigonal

***

# 3
LiScZn2Au4: relaxed, GGA-PBE.

Lattice parameters (Å, degrees): 4.5600 4.5600 7.9366 73.30 73.30 60.00
Fractional coordinates of all 8 atoms:
Li 0.5000 0.5000 0.5000
Sc 0.0000 0.0000 0.0000
Zn 0.7503 0.7503 0.7492
Zn 0.2497 0.2497 0.2508
Au 0.3807 0.3807 0.8580
Au 0.8722 0.8722 0.3834
Au 0.1278 0.1278 0.6166
Au 0.6193 0.6193 0.1420

Computed properties:
Volume, Å³ per cell: 134.83
Total magnetic moment, Bohr magnetons per cell: 0.00
ΔH_f (0 K), eV per atom: -0.5029
Crystal system: trigonal

***

# 4
LiAuSe: relaxed, GGA-PBE.

Lattice parameters (Å, degrees): 4.4149 4.4149 4.4149 60.00 60.00 60.00
Fractional coordinates of all 3 atoms:
Au 0.0000 0.0000 0.0000
Li 0.5000 0.5000 0.5000
Se 0.7500 0.7500 0.7500

Computed properties:
Volume, Å³ per cell: 60.85
Total magnetic moment, Bohr magnetons per cell: 0.00
Uncorrected formation energy, eV/f.u.: -1.6
Crystal system: cubic

***

# 5
LiAu3Se: relaxed, GGA-PBE.

Lattice parameters (Å, degrees): 5.1178 5.1178 5.1178 90.00 90.00 90.00
Fractional coordinates of all 5 atoms:
Au 0.0000 0.5000 0.0000
Au 0.0000 0.0000 0.5000
Au 0.5000 0.0000 0.0000
Se 0.0000 0.0000 0.0000
Li 0.5000 0.5000 0.5000

Computed properties:
Energy above the most stable polymorph in this dataset, eV per atom: 0.000
Volume, Å³ per cell: 134.05
Total magnetic moment, Bohr magnetons per cell: 0.00
Uncorrected formation energy, eV/f.u.: 1.2
Crystal system: cubic

***

# 6
Li5AuSe3: relaxed, GGA-PBE.

Lattice parameters (Å, degrees): 6.1108 7.5013 8.5433 106.76 90.00 114.04
Fractional coordinates of all 18 atoms:
Li 0.2366 0.0000 0.7500
Li 0.5817 0.6839 0.9101
Li 0.9171 0.3251 0.0719
Li 0.4183 0.3161 0.0899
Li 0.5920 0.6749 0.4281
Li 0.7634 0.0000 0.2500
Li 0.1022 0.6839 0.4101
Li 0.8978 0.3161 0.5899
Li 0.4080 0.3251 0.5719
Li 0.0829 0.6749 0.9281
Au 0.6987 0.0000 0.7500
Au 0.3013 0.0000 0.2500
Se 0.0000 0.0000 0.0000
Se 0.6934 0.3513 0.3394
Se 0.0000 0.0000 0.5000
Se 0.3066 0.6487 0.6606
Se 0.6579 0.3513 0.8394
Se 0.3421 0.6487 0.1606

Computed properties:
Volume, Å³ per cell: 339.36
Total magnetic moment, Bohr magnetons per cell: 0.00
Uncorrected formation energy, eV/f.u.: -9.2
Crystal system: monoclinic

***

# 7
LiAu3Se2: relaxed, GGA-PBE.

Lattice parameters (Å, degrees): 7.1392 7.9182 7.5197 121.77 118.34 90.00
Fractional coordinates of all 12 atoms:
Li 0.7500 0.5000 0.0000
Li 0.2500 0.5000 0.0000
Au 0.0000 0.5000 0.5000
Au 0.5000 0.0000 0.5000
Au 0.5000 0.5000 0.5000
Au 0.5000 0.0000 0.0000
Au 0.0000 0.0000 0.0000
Au 0.0000 0.0000 0.5000
Se 0.5936 0.8118 0.1872
Se 0.0936 0.3754 0.1872
Se 0.9064 0.6246 0.8128
Se 0.4064 0.1882 0.8128

Computed properties:
Volume, Å³ per cell: 299.82
Total magnetic moment, Bohr magnetons per cell: 0.00
Uncorrected formation energy, eV/f.u.: -2.0
Crystal system: orthorhombic

***

# 8
Li4AuSe3: relaxed, GGA-PBE.

Lattice parameters (Å, degrees): 5.7585 6.9178 8.7957 90.04 90.00 114.60
Fractional coordinates of all 16 atoms:
Au 0.5314 0.9504 0.7332
Au 0.4190 0.9504 0.2332
Se 0.6888 0.2714 0.9018
Se 0.5826 0.2714 0.4018
Se 0.3366 0.6151 0.5754
Se 0.2785 0.6151 0.0754
Se 0.0292 0.9725 0.7485
Se 0.9433 0.9725 0.2485
Li 0.2488 0.2028 0.0112
Li 0.9540 0.2028 0.5112
Li 0.4459 0.3241 0.6773
Li 0.8782 0.3241 0.1773
Li 0.0675 0.6048 0.8128
Li 0.5373 0.6048 0.3128
Li 0.1106 0.8387 0.4895
Li 0.7281 0.8387 0.9895

Computed properties:
Volume, Å³ per cell: 318.59
Total magnetic moment, Bohr magnetons per cell: 0.00
Uncorrected formation energy, eV/f.u.: -6.9
Crystal system: monoclinic

***

# 9
LiAu4Se: relaxed, GGA-PBE.

Lattice parameters (Å, degrees): 5.5521 5.5521 5.5521 60.00 60.00 60.00
Fractional coordinates of all 6 atoms:
Li 0.7500 0.7500 0.7500
Au 0.8734 0.3755 0.3755
Au 0.3755 0.3755 0.8734
Au 0.3755 0.8734 0.3755
Au 0.3755 0.3755 0.3755
Se 0.0000 0.0000 0.0000

Computed properties:
Volume, Å³ per cell: 121.02
Total magnetic moment, Bohr magnetons per cell: 0.00
Uncorrected formation energy, eV/f.u.: -0.4
Crystal system: cubic

***

# 10
Li2Au3Se3: relaxed, GGA-PBE.

Lattice parameters (Å, degrees): 5.4270 5.4270 5.4270 81.82 81.82 98.18
Fractional coordinates of all 8 atoms:
Li 0.2126 0.2126 0.7874
Li 0.7874 0.7874 0.2126
Au 0.2706 0.7294 0.5000
Au 0.5000 0.2706 0.2706
Au 0.7294 0.5000 0.7294
Se 0.2741 0.7259 0.0000
Se 0.0000 0.2741 0.2741
Se 0.7259 0.0000 0.7259

Computed properties:
Volume, Å³ per cell: 154.43
Total magnetic moment, Bohr magnetons per cell: 0.00
Uncorrected formation energy, eV/f.u.: -1.3
Crystal system: trigonal

***

# 11
Li2AuSe2: relaxed, GGA-PBE.

Lattice parameters (Å, degrees): 7.0911 7.0911 3.8894 90.00 90.00 90.00
Fractional coordinates of all 10 atoms:
Au 0.0000 0.0000 0.0000
Au 0.5000 0.5000 0.0000
Se 0.3345 0.8345 0.0000
Se 0.8345 0.6655 0.0000
Se 0.6655 0.1655 0.0000
Se 0.1655 0.3345 0.0000
Li 0.1460 0.6460 0.5000
Li 0.6460 0.8540 0.5000
Li 0.8540 0.3540 0.5000
Li 0.3540 0.1460 0.5000

Computed properties:
Volume, Å³ per cell: 195.57
Total magnetic moment, Bohr magnetons per cell: 0.00
Uncorrected formation energy, eV/f.u.: -3.2
Crystal system: tetragonal

***

# 12
LiAuSe4: relaxed, GGA-PBE.

Lattice parameters (Å, degrees): 5.7455 5.7455 5.7455 60.00 60.00 60.00
Fractional coordinates of all 6 atoms:
Li 0.0000 0.0000 0.0000
Au 0.7500 0.7500 0.7500
Se 0.8731 0.3756 0.3756
Se 0.3756 0.3756 0.8731
Se 0.3756 0.8731 0.3756
Se 0.3756 0.3756 0.3756

Computed properties:
Volume, Å³ per cell: 134.11
Total magnetic moment, Bohr magnetons per cell: 0.00
Uncorrected formation energy, eV/f.u.: 1.8
Crystal system: cubic

***

Which value of volume does entry 1 give?
159.67 Å³ per cell